No. 1
VASP calculation (PBE) on an optimized crystal structure of LiAcPb2.

Properties
The total magnetization comes out at 0.000 μB/atom. As for the density of states at the Fermi level: 1.47 states/eV/cell. The calculation puts the formation energy at -395 meV per atom. As for the crystal system: tetragonal.

Cell lengths 5.0164, 5.0164, 4.8467 Å; angles 90.00, 90.00, 90.00 degrees
Space group P4/mmm (No. 123)
Asymmetric unit:
Li1 0.0000 0.0000 0.0000 (multiplicity 1)
Ac1 0.5000 0.5000 0.0000 (multiplicity 1)
Pb1 0.0000 0.5000 0.5000 (multiplicity 2)

***

No. 2
VASP calculation (PBE) on an optimized crystal structure of LiAc2Pb2.

Properties
The total magnetization comes out at 0.000 μB/atom. As for the density of states at the Fermi level: 7.50 states/eV/cell. As for the energy above the most stable polymorph in this dataset: 6 meV per atom. The calculation puts the formation energy at -457 meV per atom. As for the crystal system: orthorhombic.

Cell lengths 4.8686, 6.7529, 10.2201 Å; angles 90.00, 90.00, 90.00 degrees
Space group Immm (No. 71)
Asymmetric unit:
Li1 0.0000 0.0000 0.0000 (multiplicity 2)
Ac1 0.0000 0.5000 0.1982 (multiplicity 4)
Pb1 0.0000 0.2448 0.5000 (multiplicity 4)

***

No. 3
VASP calculation (PBE) on an optimized crystal structure of LiAc2Pb8.

Properties
The total magnetization comes out at 0.000 μB/atom. As for the density of states at the Fermi level: 6.85 states/eV/cell. The calculation puts the formation energy at -313 meV per atom. As for the crystal system: tetragonal.

Cell lengths 5.0283, 5.0283, 13.5560 Å; angles 90.00, 90.00, 90.00 degrees
Space group P4/mmm (No. 123)
Asymmetric unit:
Li1 0.0000 0.0000 0.0000 (multiplicity 1)
Ac1 0.0000 0.0000 0.3117 (multiplicity 2)
Pb1 0.0000 0.5000 0.1217 (multiplicity 4)
Pb2 0.0000 0.5000 0.5000 (multiplicity 2)
Pb3 0.5000 0.5000 0.3065 (multiplicity 2)

***

No. 4
VASP calculation (PBE) on an optimized crystal structure of LiAc5Pb4.

Properties
The total magnetization comes out at 0.000 μB/atom. As for the density of states at the Fermi level: 22.62 states/eV/cell. The calculation puts the formation energy at -312 meV per atom. As for the crystal system: tetragonal.

Cell lengths 10.6280, 10.6280, 6.9375 Å; angles 90.00, 90.00, 90.00 degrees
Space group I4 (No. 79)
Asymmetric unit:
Li1 0.0000 0.0000 0.0000 (multiplicity 2)
Ac1 0.0000 0.0000 0.5420 (multiplicity 2)
Ac2 0.0935 0.3100 0.2281 (multiplicity 8)
Pb1 0.1013 0.2791 0.7354 (multiplicity 8)